The following is a PBE calculation of crystalline Mg2TlAs2 at its relaxed geometry, from Alexandria.

Cell: 8.3282 8.3282 3.1690 Å, 90.00 90.00 90.00°
With the nearest neighbours (Å) after each atom.
Space group P4/mbm (No. 127)
Inequivalent atoms, fractional coordinates:
Mg 0.1396 0.3604 0.0000 (multiplicity 4)  6 As 2.89-2.93, 2 Mg 3.17
Tl 0.0000 0.0000 0.5000 (multiplicity 2)  4 As 3.15, 2 Tl 3.17
As 0.1553 0.6553 0.5000 (multiplicity 4)  6 Mg 2.89-2.93, 2 Tl 3.15, 2 As 3.17

Values from the calculation:
crystal system	tetragonal
distance to the lowest polymorph of the same formula	0.078	eV/atom
theoretical density	6.09	g cm⁻³
total energy	-3.21	eV per atom
N(E_F)	1.617	states/eV/f.u.

The following is a PBE calculation of crystalline Ce8Co3Os2 at its relaxed geometry, from Alexandria.

Cell: 14.2953 7.7056 6.1615 Å, 90.00 111.88 90.00°
With the nearest neighbours (Å) after each atom.
Space group C2/m (No. 12)
Inequivalent atoms, fractional coordinates:
Ce 0.1092 0.0000 0.2618 (multiplicity 4)  1 Co 2.51, 1 Os 2.66
Ce 0.1104 0.2650 0.7680 (multiplicity 8)  2 Co 2.53-2.73, 1 Os 2.70
Ce 0.1643 0.5000 0.3006 (multiplicity 4)  2 Co 2.77, 1 Os 2.95
Co 0.0000 0.0000 0.5000 (multiplicity 2)  6 Ce 2.51-2.73
Co 0.0000 0.3174 0.0000 (multiplicity 4)  4 Ce 2.53-2.77, 1 Co 2.81
Os 0.2405 0.0000 0.0503 (multiplicity 4)  6 Ce 2.66-2.95

Values from the calculation:
crystal system	monoclinic
theoretical density	8.85	g cm⁻³
total energy	-7.10	eV per atom
N(E_F)	28.174	states/eV/f.u.

The following is a PBE calculation of crystalline AcNd2Tm at its relaxed geometry, from Alexandria.

Cell: 3.6396 3.6396 38.4494 Å, 90.00 90.00 120.00°
With the nearest neighbours (Å) after each atom.
Space group R-3m (No. 166, hexagonal axes)
Inequivalent atoms, fractional coordinates:
Ac 0.0000 0.0000 0.0000 (multiplicity 3)  6 Ac 3.64, 6 Nd 3.72
Nd 0.0000 0.0000 0.4132 (multiplicity 6)  1 Tm 3.34, 6 Nd 3.64, 3 Ac 3.72
Tm 0.0000 0.0000 0.5000 (multiplicity 3)  2 Nd 3.34, 6 Tm 3.64

Values from the calculation:
crystal system	trigonal
distance to the lowest polymorph of the same formula	0.205	eV/atom
theoretical density	7.73	g cm⁻³
total energy	-4.29	eV per atom
N(E_F)	6.140	states/eV/f.u.

The following is a PBE calculation of crystalline MnAs at its relaxed geometry, from Alexandria.

Cell: 2.8703 10.8312 5.6059 Å, 90.00 90.00 90.00°
With the nearest neighbours (Å) after each atom.
Space group Pmmn (No. 59, origin choice 2)
Inequivalent atoms, fractional coordinates:
Mn 0.2500 0.1290 0.0006 (multiplicity 4)  4 As 2.38-2.41, 3 Mn 2.51-2.62
Mn 0.2500 0.7500 0.7159 (multiplicity 2)  4 As 2.36-2.49, 4 Mn 2.51
As 0.2500 0.2500 0.6464 (multiplicity 2)  4 Mn 2.38-2.49
As 0.2500 0.5324 0.7092 (multiplicity 4)  4 Mn 2.36-2.41

Values from the calculation:
crystal system	orthorhombic
theoretical density	7.42	g cm⁻³
total energy	-6.92	eV per atom
N(E_F)	1.451	states/eV/f.u.

The following is a PBE calculation of crystalline Ho4ThTc2 at its relaxed geometry, from Alexandria.

Cell: 7.7910 6.3212 7.9151 Å, 90.00 111.77 90.00°
With the nearest neighbours (Å) after each atom.
Space group P2_1/m (No. 11)
Inequivalent atoms, fractional coordinates:
Ho 0.1027 0.2500 0.4734 (multiplicity 2)  2 Tc 2.74-2.81
Ho 0.1741 0.7500 0.2516 (multiplicity 2)  2 Tc 2.76-2.87
Ho 0.2611 0.5016 0.9167 (multiplicity 4)  4 Tc 2.96-3.22, 2 Ho 3.14-3.18
Th 0.4639 0.2500 0.3401 (multiplicity 2)  2 Tc 2.85-3.09
Tc 0.0803 0.2500 0.1200 (multiplicity 2)  6 Ho 2.74-3.01, 1 Th 2.85
Tc 0.4660 0.2500 0.7309 (multiplicity 2)  4 Ho 2.76-3.00

Values from the calculation:
crystal system	monoclinic
theoretical density	9.98	g cm⁻³
total energy	-6.69	eV per atom
N(E_F)	6.240	states/eV/f.u.

The following is a PBE calculation of crystalline Ca6Hg2N at its relaxed geometry, from Alexandria.

Cell: 7.0802 7.2271 12.3191 Å, 90.00 124.39 90.00°
With the nearest neighbours (Å) after each atom.
Space group P2_1/c (No. 14)
Inequivalent atoms, fractional coordinates:
Ca 0.1609 0.0094 0.2336 (multiplicity 4)  1 N 2.43
Ca 0.2257 0.7242 0.0355 (multiplicity 4)  1 N 2.43
Ca 0.3125 0.1935 0.0360 (multiplicity 4)  1 N 2.44
Hg 0.2666 0.0517 0.7505 (multiplicity 4)  8 Ca 3.17-3.50
N 0.0000 0.0000 0.0000 (multiplicity 2)  6 Ca 2.43-2.44

Values from the calculation:
crystal system	monoclinic
distance to the lowest polymorph of the same formula	0.000	eV/atom
theoretical density	4.19	g cm⁻³
total energy	-2.86	eV per atom
formation energy (no corrections)	-459	kJ/mol of formula units
N(E_F)	7.111	states/eV/f.u.

The following is a PBE calculation of crystalline HgSb at its relaxed geometry, from Alexandria.

Cell: 8.9887 8.9887 8.9887 Å, 90.00 90.00 90.00°
With the nearest neighbours (Å) after each atom.
Space group I-43m (No. 217)
Inequivalent atoms, fractional coordinates:
Hg 0.1744 0.1744 0.8256 (multiplicity 8)  4 Sb 2.73-2.94
Sb 0.1505 0.1505 0.1505 (multiplicity 8)  4 Hg 2.73-2.94

Values from the calculation:
crystal system	cubic
distance to the lowest polymorph of the same formula	0.320	eV/atom
theoretical density	5.90	g cm⁻³
total energy	-1.86	eV per atom
formation energy (no corrections)	67	kJ/mol of formula units
N(E_F)	1.333	states/eV/f.u.

The following is a PBE calculation of crystalline ScCo2Ir at its relaxed geometry, from Alexandria.

Cell: 2.7715 2.7715 25.3941 Å, 90.00 90.00 120.00°
With the nearest neighbours (Å) after each atom.
Space group R-3m (No. 166, hexagonal axes)
Inequivalent atoms, fractional coordinates:
Sc 0.0000 0.0000 0.0000 (multiplicity 3)  6 Co 2.70, 6 Sc 2.77
Co 0.0000 0.0000 0.2475 (multiplicity 6)  3 Ir 2.60, 3 Sc 2.70, 6 Co 2.77
Ir 0.0000 0.0000 0.5000 (multiplicity 3)  6 Co 2.60, 6 Ir 2.77

Values from the calculation:
crystal system	trigonal
theoretical density	10.47	g cm⁻³
total energy	-7.12	eV per atom
N(E_F)	7.307	states/eV/f.u.

The following is a PBE calculation of crystalline KMgZr2 at its relaxed geometry, from Alexandria.

Cell: 4.5120 4.5120 5.2983 Å, 90.00 90.00 90.00°
With the nearest neighbours (Å) after each atom.
Space group P4/mmm (No. 123)
Inequivalent atoms, fractional coordinates:
K 0.0000 0.0000 0.0000 (multiplicity 1)  4 Mg 3.19, 8 Zr 3.48
Mg 0.5000 0.5000 0.0000 (multiplicity 1)  4 K 3.19, 8 Zr 3.48
Zr 0.0000 0.5000 0.5000 (multiplicity 2)  4 Zr 3.19, 4 K 3.48, 4 Mg 3.48

Values from the calculation:
crystal system	tetragonal
theoretical density	3.78	g cm⁻³
total energy	-4.11	eV per atom
N(E_F)	6.291	states/eV/f.u.

The following is a PBE calculation of crystalline Nd5As4Cl at its relaxed geometry, from Alexandria.

Cell: 4.2659 5.9934 21.3066 Å, 90.00 90.00 90.00°
With the nearest neighbours (Å) after each atom.
Space group Immm (No. 71)
Inequivalent atoms, fractional coordinates:
Nd 0.0000 0.0000 0.0000 (multiplicity 2)  4 As 2.98, 2 Cl 3.00
Nd 0.0000 0.0000 0.1995 (multiplicity 4)  6 As 3.00-3.04
Nd 0.0000 0.0000 0.3915 (multiplicity 4)  4 As 2.89-3.01, 2 Cl 3.14
As 0.0000 0.5000 0.2003 (multiplicity 4)  6 Nd 2.89-3.02
As 0.0000 0.5000 0.4022 (multiplicity 4)  6 Nd 2.98-3.04
Cl 0.0000 0.5000 0.0000 (multiplicity 2)  6 Nd 3.00-3.14

Values from the calculation:
crystal system	orthorhombic
theoretical density	6.44	g cm⁻³
total energy	-5.98	eV per atom
formation energy (no corrections)	-1496	kJ/mol of formula units
N(E_F)	3.107	states/eV/f.u.

The following is a PBE calculation of crystalline LaAgP at its relaxed geometry, from Alexandria.

Cell: 9.0116 10.4987 13.3352 Å, 90.00 90.00 90.00°
With the nearest neighbours (Å) after each atom.
Space group Fddd (No. 70, origin choice 2)
Inequivalent atoms, fractional coordinates:
La 0.1250 0.1250 0.2775 (multiplicity 16)  4 P 2.93
Ag 0.0000 0.0000 0.5000 (multiplicity 16)  2 P 2.47
P 0.1094 0.3750 0.3750 (multiplicity 16)  2 Ag 2.47

Values from the calculation:
crystal system	orthorhombic
theoretical density	5.85	g cm⁻³
total energy	-5.01	eV per atom
N(E_F)	2.330	states/eV/f.u.

The following is a PBE calculation of crystalline Li3GaPb3 at its relaxed geometry, from Alexandria.

Cell: 9.7441 9.7952 7.0095 Å, 90.00 90.06 90.00°
With the nearest neighbours (Å) after each atom.
Space group C2/m (No. 12)
Inequivalent atoms, fractional coordinates:
Li 0.0000 0.2351 0.0000 (multiplicity 4)  2 Ga 2.76, 6 Pb 3.01-3.04
Li 0.0000 0.2556 0.5000 (multiplicity 4)  6 Pb 2.99-3.07
Li 0.2310 0.0000 0.4980 (multiplicity 4)  6 Pb 3.01-3.25, 2 Li 3.37
Ga 0.1554 0.0000 0.0006 (multiplicity 4)  2 Li 2.76, 1 Ga 3.03
Pb 0.0000 0.5000 0.2268 (multiplicity 4)  6 Li 3.04-3.25, 1 Pb 3.18
Pb 0.2500 0.2493 0.7479 (multiplicity 8)  6 Li 2.99-3.01, 2 Ga 3.15-3.16

Values from the calculation:
crystal system	monoclinic
theoretical density	7.07	g cm⁻³
total energy	-2.98	eV per atom
N(E_F)	2.924	states/eV/f.u.

The following is a PBE calculation of crystalline KAgRh at its relaxed geometry, from Alexandria.

Cell: 5.1533 5.1533 2.8112 Å, 90.00 90.00 120.00°
With the nearest neighbours (Å) after each atom.
Space group P-6m2 (No. 187)
Inequivalent atoms, fractional coordinates:
K 0.0000 0.0000 0.0000 (multiplicity 1)  2 K 2.81
Ag 0.3333 0.6667 0.5000 (multiplicity 1)  2 Ag 2.81, 3 Rh 2.98
Rh 0.6667 0.3333 0.5000 (multiplicity 1)  2 Rh 2.81, 3 Ag 2.98

Values from the calculation:
crystal system	hexagonal
distance to the lowest polymorph of the same formula	0.200	eV/atom
theoretical density	6.42	g cm⁻³
total energy	-3.16	eV per atom
N(E_F)	2.075	states/eV/f.u.

The following is a PBE calculation of crystalline Sb2TeBrN at its relaxed geometry, from Alexandria.

Cell: 5.5359 5.5359 5.4205 Å, 90.00 90.00 90.00°
With the nearest neighbours (Å) after each atom.
Space group P4/mmm (No. 123)
Inequivalent atoms, fractional coordinates:
Sb 0.0000 0.5000 0.0000 (multiplicity 2)  2 Br 2.77
Te 0.0000 0.0000 0.5000 (multiplicity 1)  2 Br 2.71
Br 0.0000 0.0000 0.0000 (multiplicity 1)  2 Te 2.71, 4 Sb 2.77
N 0.5000 0.5000 0.5000 (multiplicity 1)  8 Sb 3.87, 4 Te 3.91

Values from the calculation:
crystal system	tetragonal
distance to the lowest polymorph of the same formula	1.487	eV/atom
theoretical density	4.65	g cm⁻³
total energy	-2.10	eV per atom
formation energy (no corrections)	1049	kJ/mol of formula units
N(E_F)	10.856	states/eV/f.u.

The following is a PBE calculation of crystalline ErHf2Se6 at its relaxed geometry, from Alexandria.

Cell: 6.4597 6.4597 11.8910 Å, 90.00 90.00 90.00°
With the nearest neighbours (Å) after each atom.
Space group P4_2/mnm (No. 136)
Inequivalent atoms, fractional coordinates:
Er 0.0000 0.0000 0.0000 (multiplicity 2)  6 Se 2.81-2.82
Hf 0.0000 0.0000 0.3345 (multiplicity 4)  6 Se 2.64-2.70
Se 0.1927 0.1927 0.5000 (multiplicity 4)  2 Hf 2.64, 1 Er 2.81
Se 0.2053 0.2053 0.1769 (multiplicity 8)  2 Hf 2.65-2.70, 1 Er 2.82

Values from the calculation:
crystal system	tetragonal
theoretical density	6.68	g cm⁻³
total energy	-6.28	eV per atom
formation energy (no corrections)	-1078	kJ/mol of formula units
N(E_F)	5.394	states/eV/f.u.

The following is a PBE calculation of crystalline ReH3Ir at its relaxed geometry, from Alexandria.

Cell: 3.4227 3.4227 3.4227 Å, 90.00 90.00 90.00°
With the nearest neighbours (Å) after each atom.
Space group Pm-3m (No. 221)
Inequivalent atoms, fractional coordinates:
Re 0.0000 0.0000 0.0000 (multiplicity 1)  12 H 2.42
H 0.0000 0.5000 0.5000 (multiplicity 3)  2 Ir 1.71
Ir 0.5000 0.5000 0.5000 (multiplicity 1)  6 H 1.71

Values from the calculation:
crystal system	cubic
distance to the lowest polymorph of the same formula	0.000	eV/atom
theoretical density	15.80	g cm⁻³
total energy	-5.60	eV per atom
N(E_F)	1.791	states/eV/f.u.

The following is a PBE calculation of crystalline Mn2NbGa at its relaxed geometry, from Alexandria.

Cell: 2.7333 4.6866 10.1697 Å, 90.00 90.00 90.00°
With the nearest neighbours (Å) after each atom.
Space group Immm (No. 71)
Inequivalent atoms, fractional coordinates:
Mn 0.0000 0.0000 0.2438 (multiplicity 4)  1 Ga 2.48, 1 Nb 2.61, 6 Mn 2.72-2.73
Nb 0.0000 0.0000 0.5000 (multiplicity 2)  2 Mn 2.61, 4 Ga 2.71, 2 Nb 2.73
Ga 0.0000 0.0000 0.0000 (multiplicity 2)  2 Mn 2.48, 4 Nb 2.71, 2 Ga 2.73

Values from the calculation:
crystal system	orthorhombic
theoretical density	6.95	g cm⁻³
total energy	-7.42	eV per atom
N(E_F)	3.776	states/eV/f.u.

The following is a PBE calculation of crystalline MnIrOs2 at its relaxed geometry, from Alexandria.

Cell: 2.8464 4.3864 9.0688 Å, 90.00 90.00 90.00°
With the nearest neighbours (Å) after each atom.
Space group Imm2 (No. 44)
Inequivalent atoms, fractional coordinates:
Mn 0.0000 0.0000 0.0000 (multiplicity 2)  6 Os 2.48-2.62, 2 Ir 2.50
Ir 0.0000 0.5000 0.7266 (multiplicity 2)  2 Mn 2.50, 4 Os 2.65
Os 0.0000 0.0000 0.5075 (multiplicity 2)  4 Mn 2.62, 4 Os 2.82-2.85, 2 Ir 2.92
Os 0.0000 0.5000 0.2766 (multiplicity 2)  2 Mn 2.48, 4 Ir 2.65

Values from the calculation:
crystal system	orthorhombic
distance to the lowest polymorph of the same formula	0.289	eV/atom
theoretical density	18.41	g cm⁻³
total energy	-9.84	eV per atom
N(E_F)	3.534	states/eV/f.u.

The following is a PBE calculation of crystalline ZrIn3 at its relaxed geometry, from Alexandria.

Cell: 5.7611 5.7611 5.7611 Å, 90.00 90.00 90.00°
With the nearest neighbours (Å) after each atom.
Space group Pm-3n (No. 223)
Inequivalent atoms, fractional coordinates:
Zr 0.0000 0.0000 0.0000 (multiplicity 2)  12 In 3.22
In 0.0000 0.2500 0.5000 (multiplicity 6)  2 In 2.88, 4 Zr 3.22

Values from the calculation:
crystal system	cubic
theoretical density	7.57	g cm⁻³
total energy	-4.18	eV per atom
N(E_F)	4.509	states/eV/f.u.

The following is a PBE calculation of crystalline GaPBr2 at its relaxed geometry, from Alexandria.

Cell: 7.3270 7.3270 7.3270 Å, 90.00 90.00 90.00°
With the nearest neighbours (Å) after each atom.
Space group Fm-3m (No. 225)
Inequivalent atoms, fractional coordinates:
Ga 0.0000 0.0000 0.0000 (multiplicity 4)  8 Br 3.17
P 0.0000 0.0000 0.5000 (multiplicity 4)  8 Br 3.17
Br 0.2500 0.2500 0.2500 (multiplicity 8)  4 Ga 3.17, 4 P 3.17

Values from the calculation:
crystal system	cubic
distance to the lowest polymorph of the same formula	0.301	eV/atom
theoretical density	4.40	g cm⁻³
total energy	-2.47	eV per atom
formation energy (no corrections)	183	kJ/mol of formula units
N(E_F)	3.343	states/eV/f.u.

no.,magnetization (μB per cell)
1,0.00
2,5.73
3,0.00
4,1.75
5,0.00
6,0.00
7,0.00
8,6.88
9,0.00
10,0.00
11,0.01
12,0.00
13,0.67
14,0.00
15,0.00
16,0.00
17,11.93
18,5.90
19,0.00
20,6.99